(w)
A plane-wave DFT calculation with PBE was carried out for Th3BiOs after structural relaxation.

The space group is Pnma (No. 62) and the conventional cell measures 8.9022, 4.3978 and 15.3814 Å, with angles of 90.00, 90.00 and 90.00 degrees. Symmetry generates all atoms from Th at (0.0242, 0.2500, 0.1034), Th at (0.1524, 0.2500, 0.5040), Th at (0.1890, 0.7500, 0.2805), Bi at (0.0900, 0.7500, 0.6756) and Os at (0.1783, 0.2500, 0.9376).

The value obtained for the density of states at the Fermi level is 5.54 states/eV/f.u. Its density is 12082 kg/m³. Its total magnetization is 0.00 μB/f.u.

=====

(x)
A plane-wave DFT calculation with PBE was carried out for Th3BiOs after structural relaxation.

The space group is Cmmm (No. 65) and the conventional cell measures 7.7788, 15.0607 and 5.3512 Å, with angles of 90.00, 90.00 and 90.00 degrees. Symmetry generates all atoms from Th at (0.0000, 0.1231, 0.0000), Th at (0.1977, 0.5000, 0.5000), Th at (0.2500, 0.2500, 0.5000), Bi at (0.0000, 0.3595, 0.0000) and Os at (0.0000, 0.1074, 0.5000).

The value obtained for the density of states at the Fermi level is 4.73 states/eV/f.u. Its density is 11605 kg/m³. Its total magnetization is 0.00 μB/f.u.

=====

(w) takes first place; second place is 146 meV per atom up.

=====

(w)
A plane-wave DFT calculation with PBE was carried out for Th5Bi2Os after structural relaxation.

The space group is Pnma (No. 62) and the conventional cell measures 12.7691, 9.1941 and 8.3269 Å, with angles of 90.00, 90.00 and 90.00 degrees. Symmetry generates all atoms from Th at (0.0029, 0.2500, 0.0338), Th at (0.0594, 0.0383, 0.6933), Th at (0.1975, 0.7500, 0.3878), Th at (0.1992, 0.2500, 0.3561), Bi at (0.1769, 0.5131, 0.0841) and Os at (0.0146, 0.7500, 0.5675).

The value obtained for the density of states at the Fermi level is 9.88 states/eV/f.u. Its density is 12015 kg/m³. Its total magnetization is 0.00 μB/f.u.

=====

(x)
A plane-wave DFT calculation with PBE was carried out for Th5Bi2Os after structural relaxation.

The space group is Cmcm (No. 63) and the conventional cell measures 5.8794, 16.0925 and 13.2301 Å, with angles of 90.00, 90.00 and 90.00 degrees. Symmetry generates all atoms from Th at (0.0000, 0.0632, 0.1037), Th at (0.0000, 0.2922, 0.0752), Th at (0.0000, 0.3170, 0.7500), Bi at (0.0000, 0.1425, 0.6176) and Os at (0.0000, 0.1832, 0.2500).

The value obtained for the density of states at the Fermi level is 11.28 states/eV/f.u. Its density is 9384 kg/m³. Its total magnetization is 0.00 μB/f.u.

=====

(w) takes first place; second place is 525 meV per atom up.

=====

(w)
A plane-wave DFT calculation with PBE was carried out for TiBi3Os after structural relaxation.

The space group is Pm-3m (No. 221) and the conventional cell measures 5.3001, 5.3001 and 5.3001 Å, with angles of 90.00, 90.00 and 90.00 degrees. Symmetry generates all atoms from Ti at (0.0000, 0.0000, 0.0000), Bi at (0.0000, 0.0000, 0.5000) and Os at (0.5000, 0.5000, 0.5000).

The value obtained for the density of states at the Fermi level is 5.04 states/eV/f.u. Its density is 9648 kg/m³. Its total magnetization is 3.00 μB/f.u.

=====

(x)
A plane-wave DFT calculation with PBE was carried out for TiBi3Os after structural relaxation.

The space group is Pm-3m (No. 221) and the conventional cell measures 5.3223, 5.3223 and 5.3223 Å, with angles of 90.00, 90.00 and 90.00 degrees. Symmetry generates all atoms from Ti at (0.0000, 0.0000, 0.0000), Bi at (0.0000, 0.5000, 0.5000) and Os at (0.5000, 0.5000, 0.5000).

The value obtained for the density of states at the Fermi level is 6.00 states/eV/f.u. Its density is 9528 kg/m³. Its total magnetization is 2.68 μB/f.u.

=====

(x) takes first place; second place is 279 meV per atom up.

=====

(w)
A plane-wave DFT calculation with PBE was carried out for TiBiOs3 after structural relaxation.

The space group is Pm-3m (No. 221) and the conventional cell measures 4.8771, 4.8771 and 4.8771 Å, with angles of 90.00, 90.00 and 90.00 degrees. Symmetry generates all atoms from Ti at (0.0000, 0.0000, 0.0000), Bi at (0.5000, 0.5000, 0.5000) and Os at (0.0000, 0.5000, 0.5000).

The value obtained for the density of states at the Fermi level is 5.04 states/eV/f.u. Its density is 11845 kg/m³. Its total magnetization is 0.00 μB/f.u.

=====

(x)
A plane-wave DFT calculation with PBE was carried out for TiBiOs3 after structural relaxation.

The space group is Pm-3m (No. 221) and the conventional cell measures 4.6443, 4.6443 and 4.6443 Å, with angles of 90.00, 90.00 and 90.00 degrees. Symmetry generates all atoms from Ti at (0.0000, 0.0000, 0.0000), Bi at (0.5000, 0.5000, 0.5000) and Os at (0.0000, 0.0000, 0.5000).

The value obtained for the density of states at the Fermi level is 4.09 states/eV/f.u. Its density is 13718 kg/m³. Its total magnetization is 0.00 μB/f.u.

=====

(x) takes first place; second place is 1148 meV per atom up.

=====

(w)
A plane-wave DFT calculation with PBE was carried out for TlBi2Os after structural relaxation.

The space group is Fm-3m (No. 225) and the conventional cell measures 7.2774, 7.2774 and 7.2774 Å, with angles of 90.00, 90.00 and 90.00 degrees. Symmetry generates all atoms from Tl at (0.0000, 0.0000, 0.0000), Bi at (0.2500, 0.2500, 0.2500) and Os at (0.0000, 0.0000, 0.5000).

The value obtained for the density of states at the Fermi level is 3.48 states/eV/f.u. Its density is 14004 kg/m³. Its total magnetization is 0.00 μB/f.u.

=====

(x)
A plane-wave DFT calculation with PBE was carried out for TlBi2Os after structural relaxation.

The space group is I-42d (No. 122) and the conventional cell measures 6.9462, 6.9462 and 12.4169 Å, with angles of 90.00, 90.00 and 90.00 degrees. Symmetry generates all atoms from Tl at (0.0000, 0.0000, 0.0000), Bi at (0.1736, 0.2500, 0.6250) and Os at (0.0000, 0.0000, 0.5000).

The value obtained for the density of states at the Fermi level is 3.63 states/eV/f.u. Its density is 9009 kg/m³. Its total magnetization is 0.00 μB/f.u.

=====

(x) takes first place; second place is 32 meV per atom up.

=====

(w)
A plane-wave DFT calculation with PBE was carried out for Tl2BiOs after structural relaxation.

The space group is Fm-3m (No. 225) and the conventional cell measures 7.2331, 7.2331 and 7.2331 Å, with angles of 90.00, 90.00 and 90.00 degrees. Symmetry generates all atoms from Tl at (0.2500, 0.2500, 0.2500), Bi at (0.0000, 0.0000, 0.0000) and Os at (0.0000, 0.0000, 0.5000).

The value obtained for the density of states at the Fermi level is 4.33 states/eV/f.u. Its density is 14182 kg/m³. Its total magnetization is 0.00 μB/f.u.

=====

(x)
A plane-wave DFT calculation with PBE was carried out for Tl2BiOs after structural relaxation.

The space group is I-42d (No. 122) and the conventional cell measures 4.2589, 4.2589 and 21.8207 Å, with angles of 90.00, 90.00 and 90.00 degrees. Symmetry generates all atoms from Tl at (0.2367, 0.2500, 0.1250), Bi at (0.0000, 0.0000, 0.5000) and Os at (0.0000, 0.0000, 0.0000).

The value obtained for the density of states at the Fermi level is 3.38 states/eV/f.u. Its density is 13559 kg/m³. Its total magnetization is 0.00 μB/f.u.

=====

(x) takes first place; second place is 62 meV per atom up.

=====

(w)
A plane-wave DFT calculation with PBE was carried out for Tm4BiOs after structural relaxation.

The space group is C2/c (No. 15) and the conventional cell measures 8.8937, 13.2756 and 6.1092 Å, with angles of 90.00, 112.66 and 90.00 degrees. Symmetry generates all atoms from Tm at (0.1083, 0.1663, 0.0652), Tm at (0.2276, 0.4291, 0.3536), Bi at (0.0000, 0.3725, 0.7500) and Os at (0.0000, 0.0006, 0.7500).

The value obtained for the density of states at the Fermi level is 4.33 states/eV/f.u. Its density is 10727 kg/m³. Its total magnetization is 0.00 μB/f.u.

=====

(x)
A plane-wave DFT calculation with PBE was carried out for Tm4BiOs after structural relaxation.

The space group is C2/m (No. 12) and the conventional cell measures 17.1320, 5.3182 and 9.3491 Å, with angles of 90.00, 107.82 and 90.00 degrees. Symmetry generates all atoms from Tm at (0.0072, 0.0000, 0.2561), Tm at (0.1022, 0.5000, 0.0553), Tm at (0.1992, 0.0000, 0.9107), Tm at (0.2333, 0.0000, 0.3102), Bi at (0.1502, 0.0000, 0.5682) and Os at (0.0897, 0.0000, 0.0584).

The value obtained for the density of states at the Fermi level is 3.44 states/eV/f.u. Its density is 8804 kg/m³. Its total magnetization is 0.00 μB/f.u.

=====

(w) takes first place; second place is 339 meV per atom up.

=====

(w)
A plane-wave DFT calculation with PBE was carried out for VBiOs2 after structural relaxation.

The space group is Fm-3m (No. 225) and the conventional cell measures 6.4434, 6.4434 and 6.4434 Å, with angles of 90.00, 90.00 and 90.00 degrees. Symmetry generates all atoms from V at (0.0000, 0.0000, 0.0000), Bi at (0.0000, 0.0000, 0.5000) and Os at (0.2500, 0.2500, 0.2500).

The value obtained for the density of states at the Fermi level is 2.93 states/eV/f.u. Its density is 15900 kg/m³. Its total magnetization is 1.61 μB/f.u.

=====

(x)
A plane-wave DFT calculation with PBE was carried out for VBiOs2 after structural relaxation.

The space group is I-42d (No. 122) and the conventional cell measures 4.2572, 4.2572 and 17.2553 Å, with angles of 90.00, 90.00 and 90.00 degrees. Symmetry generates all atoms from V at (0.0000, 0.0000, 0.0000), Bi at (0.0000, 0.0000, 0.5000) and Os at (0.1658, 0.2500, 0.1250).

The value obtained for the density of states at the Fermi level is 3.79 states/eV/f.u. Its density is 13601 kg/m³. Its total magnetization is 0.84 μB/f.u.

=====

(w) takes first place; second place is 268 meV per atom up.

=====

(w)
A plane-wave DFT calculation with PBE was carried out for VBiOs3 after structural relaxation.

The space group is Pm-3m (No. 221) and the conventional cell measures 4.5847, 4.5847 and 4.5847 Å, with angles of 90.00, 90.00 and 90.00 degrees. Symmetry generates all atoms from V at (0.0000, 0.0000, 0.0000), Bi at (0.5000, 0.5000, 0.5000) and Os at (0.0000, 0.0000, 0.5000).

The value obtained for the density of states at the Fermi level is 2.63 states/eV/f.u. Its density is 14313 kg/m³. Its total magnetization is 0.00 μB/f.u.

=====

(x)
A plane-wave DFT calculation with PBE was carried out for VBiOs3 after structural relaxation.

The space group is Pm-3m (No. 221) and the conventional cell measures 4.9212, 4.9212 and 4.9212 Å, with angles of 90.00, 90.00 and 90.00 degrees. Symmetry generates all atoms from V at (0.0000, 0.0000, 0.0000), Bi at (0.5000, 0.5000, 0.5000) and Os at (0.0000, 0.5000, 0.5000).

The value obtained for the density of states at the Fermi level is 9.51 states/eV/f.u. Its density is 11573 kg/m³. Its total magnetization is 0.56 μB/f.u.

=====

(w) takes first place; second place is 1515 meV per atom up.

=====

(w)
A plane-wave DFT calculation with PBE was carried out for V2BiOs after structural relaxation.

The space group is I-42d (No. 122) and the conventional cell measures 4.1673, 4.1673 and 17.5102 Å, with angles of 90.00, 90.00 and 90.00 degrees. Symmetry generates all atoms from V at (0.1863, 0.2500, 0.1250), Bi at (0.0000, 0.0000, 0.5000) and Os at (0.0000, 0.0000, 0.0000).

The value obtained for the density of states at the Fermi level is 3.94 states/eV/f.u. Its density is 10945 kg/m³. Its total magnetization is 0.00 μB/f.u.

=====

(x)
A plane-wave DFT calculation with PBE was carried out for V2BiOs after structural relaxation.

The space group is Fm-3m (No. 225) and the conventional cell measures 6.4430, 6.4430 and 6.4430 Å, with angles of 90.00, 90.00 and 90.00 degrees. Symmetry generates all atoms from V at (0.2500, 0.2500, 0.2500), Bi at (0.0000, 0.0000, 0.0000) and Os at (0.0000, 0.0000, 0.5000).

The value obtained for the density of states at the Fermi level is 6.99 states/eV/f.u. Its density is 12444 kg/m³. Its total magnetization is 3.06 μB/f.u.

=====

(x) takes first place; second place is 354 meV per atom up.

=====

(w)
A plane-wave DFT calculation with PBE was carried out for Bi2Os2W after structural relaxation.

The space group is P4/mbm (No. 127) and the conventional cell measures 6.6937, 6.6937 and 4.7163 Å, with angles of 90.00, 90.00 and 90.00 degrees. Symmetry generates all atoms from Bi at (0.1812, 0.3188, 0.0000), Os at (0.1340, 0.6340, 0.5000) and W at (0.0000, 0.0000, 0.5000).

The value obtained for the density of states at the Fermi level is 5.23 states/eV/f.u. Its density is 15437 kg/m³. Its total magnetization is 0.07 μB/f.u.

=====

(x)
A plane-wave DFT calculation with PBE was carried out for Bi2Os2W after structural relaxation.

The space group is I4/mmm (No. 139) and the conventional cell measures 4.1800, 4.1800 and 12.4723 Å, with angles of 90.00, 90.00 and 90.00 degrees. Symmetry generates all atoms from Bi at (0.0000, 0.5000, 0.2500), Os at (0.0000, 0.0000, 0.0947) and W at (0.0000, 0.0000, 0.5000).

The value obtained for the density of states at the Fermi level is 5.40 states/eV/f.u. Its density is 14969 kg/m³. Its total magnetization is 2.01 μB/f.u.

=====

(w) takes first place; second place is 623 meV per atom up.

=====

(w)
A plane-wave DFT calculation with PBE was carried out for Zr3BiOs after structural relaxation.

The space group is Pm-3m (No. 221) and the conventional cell measures 5.0902, 5.0902 and 5.0902 Å, with angles of 90.00, 90.00 and 90.00 degrees. Symmetry generates all atoms from Zr at (0.0000, 0.0000, 0.5000), Bi at (0.5000, 0.5000, 0.5000) and Os at (0.0000, 0.0000, 0.0000).

The value obtained for the density of states at the Fermi level is 5.17 states/eV/f.u. Its density is 8472 kg/m³. Its total magnetization is 0.00 μB/f.u.

=====

(x)
A plane-wave DFT calculation with PBE was carried out for Zr3BiOs after structural relaxation.

The space group is Pm-3m (No. 221) and the conventional cell measures 5.2685, 5.2685 and 5.2685 Å, with angles of 90.00, 90.00 and 90.00 degrees. Symmetry generates all atoms from Zr at (0.0000, 0.0000, 0.5000), Bi at (0.0000, 0.0000, 0.0000) and Os at (0.5000, 0.5000, 0.5000).

The value obtained for the density of states at the Fermi level is 5.81 states/eV/f.u. Its density is 7641 kg/m³. Its total magnetization is 1.40 μB/f.u.

=====

(w) takes first place; second place is 1662 meV per atom up.